VASP calculation (PBE) on crystalline Pm8Nd3Pu at its relaxed geometry.

The value obtained for the density of states at the Fermi level is 36.33 states/eV/cell. The value obtained for the formation energy is 0.516 eV/atom. The crystal system is tetragonal. Its volume is 37.30 A^3/atom. Its calculated total energy is -5.038 eV/atom.

It has space group I-42m (No. 121), with a = 8.8083 Å, b = 8.8083 Å, c = 11.5384 Å, α = 90.00°, β = 90.00° and γ = 90.00°. The distinct sites, in fractional coordinates, are Pm at (0.1241, 0.1241, 0.2358), Pm at (0.2337, 0.2337, 0.9750), Nd at (0.0000, 0.0000, 0.5000), Nd at (0.0000, 0.5000, 0.2500) and Pu at (0.0000, 0.0000, 0.0000).



VASP calculation (PBE) on crystalline Pm4Nd7Pu at its relaxed geometry.

The value obtained for the density of states at the Fermi level is 22.06 states/eV/cell. The value obtained for the formation energy is 0.047 eV/atom. The crystal system is triclinic. Its volume is 34.50 A^3/atom. Its calculated total energy is -5.512 eV/atom.

It has space group P-1 (No. 2), with a = 6.3693 Å, b = 7.3606 Å, c = 9.0800 Å, α = 89.99°, β = 76.51° and γ = 89.93°. The distinct sites, in fractional coordinates, are Pm at (0.2252, 0.2474, 0.3277), Pm at (0.2248, 0.7532, 0.3278), Nd at (0.0000, 0.2469, 0.0002), Nd at (0.2746, 0.4998, 0.6648), Nd at (0.2803, 0.0000, 0.6695), Nd at (0.5000, 0.5000, 0.0000) and Pu at (0.5000, 0.0000, 0.0000).